Material: ScIn2Hg2
Method: DFT, PBE
State: optimized geometry

a b c (Å): 8.1116 8.1116 3.7586
angles (deg): 90.00 90.00 90.00
With the nearest neighbours (Å) after each atom.
Sites, in units of the cell vectors:
Sc  0.0000  0.0000  0.0000  4 In 3.16
Sc  0.5000  0.5000  0.0000  4 In 3.16
Hg  0.1698  0.6698  0.5000  6 In 2.93-3.11
Hg  0.6698  0.8302  0.5000  6 In 2.93-3.11
Hg  0.8302  0.3302  0.5000  6 In 2.93-3.11
Hg  0.3302  0.1698  0.5000  6 In 2.93-3.11
In  0.3661  0.8661  0.0000  6 Hg 2.93-3.11, 1 In 3.07, 2 Sc 3.16
In  0.8661  0.6339  0.0000  6 Hg 2.93-3.11, 1 In 3.07, 2 Sc 3.16
In  0.6339  0.1339  0.0000  6 Hg 2.93-3.11, 1 In 3.07, 2 Sc 3.16
In  0.1339  0.3661  0.0000  6 Hg 2.93-3.11, 1 In 3.07, 2 Sc 3.16

Summary:
* energy above the most stable polymorph in this dataset: 57.2 meV per atom
* energy of formation from the pure elements: 0.02 eV/f.u.